Record 1
TeAsRu | GGA-PBEsol | optimized geometry

Cell lengths 6.2820, 6.3393, 6.4016 Å; angles 113.75, 90.00, 90.00 degrees
Atoms (fractional coordinates):
Te (0.3740, 0.1559, 0.3679)
Te (0.8740, 0.8441, 0.1321)
Te (0.6260, 0.8441, 0.6321)
Te (0.1260, 0.1559, 0.8679)
As (0.6456, 0.3529, 0.1699)
As (0.1456, 0.6471, 0.3301)
As (0.3544, 0.6471, 0.8301)
As (0.8544, 0.3529, 0.6699)
Ru (0.9920, 0.2841, 0.2952)
Ru (0.4920, 0.7159, 0.2048)
Ru (0.0080, 0.7159, 0.7048)
Ru (0.5080, 0.2841, 0.7952)

Calculated values
**Formation energy (no corrections)**: -439 meV per atom
**V**: 233 Å³ per cell
**M_tot**: 0.0 μB per cell

Record 2
TeAs2Ru | GGA-PBEsol | optimized geometry

Cell lengths 4.6408, 4.6605, 4.6408 Å; angles 60.14, 90.00, 119.86 degrees
Atoms (fractional coordinates):
Ru (0.5000, 0.0000, 0.5000)
As (0.0000, 0.0000, 0.0000)
As (0.2500, 0.5000, 0.2500)
Te (0.7500, 0.5000, 0.7500)

Calculated values
**Formation energy (no corrections)**: 446 meV per atom
**V**: 71 Å³ per cell
**M_tot**: 0.0 μB per cell

Record 3
TiAsRu | GGA-PBEsol | optimized geometry

Cell lengths 6.4668, 7.3877, 7.2772 Å; angles 60.49, 90.00, 115.96 degrees
Atoms (fractional coordinates):
Ti (0.2449, 0.4391, 0.5305)
Ti (0.8059, 0.5609, 0.4695)
Ti (0.6644, 0.9970, 0.2515)
Ti (0.6674, 0.0030, 0.7485)
Ti (0.8485, 0.6124, 0.9438)
Ti (0.2361, 0.3876, 0.0562)
As (0.5794, 0.6668, 0.1627)
As (0.9126, 0.3332, 0.8373)
As (0.9126, 0.3332, 0.3295)
As (0.5794, 0.6668, 0.6705)
As (0.2882, 0.0718, 0.7141)
As (0.2164, 0.9282, 0.2859)
Ru (0.4956, 0.2480, 0.3357)
Ru (0.2476, 0.7520, 0.6643)
Ru (0.2476, 0.7520, 0.0837)
Ru (0.4956, 0.2480, 0.9163)
Ru (0.9991, 0.0000, 0.0000)
Ru (0.9991, 0.0000, 0.5000)

Calculated values
**Uncorrected energy**: -8.618 eV/atom
**V**: 262 Å³ per cell
**M_tot**: 0.0 μB per cell

Record 4
TlAsRu2 | GGA-PBEsol | optimized geometry

Cell lengths 2.8976, 3.7785, 6.1121 Å; angles 90.00, 90.00, 90.00 degrees
Atoms (fractional coordinates):
Ru (0.0000, 0.0000, 0.9766)
Ru (0.5000, 0.5000, 0.2209)
Tl (0.0000, 0.0000, 0.4720)
As (0.5000, 0.5000, 0.8306)

Calculated values
**Uncorrected energy**: -6.714 eV/atom
**V**: 67 Å³ per cell
**M_tot**: 0.0 μB per cell